Below is PtWN2O after structural relaxation, with properties calculated at the PBE with a Hubbard U level.

a = 3.949 Å, b = 3.949 Å, c = 4.008 Å
α = 90.00°, β = 90.00°, γ = 90.00°
Element x y z (fractional)
O 0.000 0.000 0.500
W 0.500 0.500 0.500
Pt 0.000 0.000 0.000
N 0.000 0.500 0.000
N 0.500 0.000 0.000

## Properties
Volume   62.51 Å³/cell
VASP energy   -5.58 eV/atom
Space-group type   P4/mmm, No. 123
Spin magnetization   1.66 μB/cell